Entry from Alexandria via LeMat-Bulk: an optimized crystal structure of YBeRu2 (PBEsol).

```
YBeRu2
1.0
0.0000 3.1160 3.1160
3.1160 0.0000 3.1160
3.1160 3.1160 0.0000
Y Be Ru
1 1 2
Cartesian
0.0000 0.0000 0.0000 Y
4.6740 4.6740 4.6740 Be
1.5580 1.5580 1.5580 Ru
3.1160 3.1160 3.1160 Ru
```

Summary:
For the uncorrected energy, the calculation gives -30.216 eV/cell. As for the density of states at the Fermi level: 5.0 states/eV/cell.